Record 1
YEr6Tl | PBE | relaxed Values from VASP.

- ΔE_f: 29 meV per atom
- Distance to the lowest polymorph of the same formula: 98.7 meV per atom

Quantum ESPRESSO input file:
```
&SYSTEM
  ibrav = 0, nat = 8, ntyp = 3
/
ATOMIC_SPECIES
Tl 204.38 Tl.upf
Er 167.26 Er.upf
Y 88.91 Y.upf
CELL_PARAMETERS angstrom
9.166 0.016 0.067
4.572 7.212 -0.210
4.553 2.278 3.649
ATOMIC_POSITIONS crystal
Tl 0.000 0.000 0.000
Er 0.544 0.242 0.178
Er 0.758 0.964 0.734
Er 0.036 0.455 0.750
Er 0.242 0.036 0.266
Er 0.456 0.758 0.822
Er 0.964 0.545 0.250
Y 0.500 0.500 0.500
```

=====

Record 2
YPtO2 | PBE | relaxed Values from VASP.

- Final energy: -6.883 eV per atom

Quantum ESPRESSO input file:
```
&SYSTEM
  ibrav = 0, nat = 4, ntyp = 3
/
ATOMIC_SPECIES
O 16.00 O.upf
Y 88.91 Y.upf
Pt 195.08 Pt.upf
CELL_PARAMETERS angstrom
0.811 -4.067 0.527
-3.070 -2.811 -0.387
-0.064 -2.587 -3.283
ATOMIC_POSITIONS crystal
O 0.250 0.250 0.250
O 0.750 0.750 0.750
Y 0.000 0.000 0.000
Pt 0.500 0.500 0.500
```

=====

Record 3
PaFeP | PBE | relaxed Values from VASP.

- ΔE_f: -247 meV per atom

Quantum ESPRESSO input file:
```
&SYSTEM
  ibrav = 0, nat = 3, ntyp = 3
/
ATOMIC_SPECIES
Fe 55.84 Fe.upf
Pa 231.04 Pa.upf
P 30.97 P.upf
CELL_PARAMETERS angstrom
-0.793 -2.850 2.880
4.036 -0.817 0.303
-1.320 4.228 0.861
ATOMIC_POSITIONS crystal
Fe 0.946 0.946 0.892
Pa 0.647 0.647 0.293
P 0.257 0.257 0.515
```

=====

Record 4
LiCeSn6 | PBE | relaxed Values from VASP.

- ΔE_f: -329 meV per atom

Quantum ESPRESSO input file:
```
&SYSTEM
  ibrav = 0, nat = 8, ntyp = 3
/
ATOMIC_SPECIES
Li 6.94 Li.upf
Sn 118.71 Sn.upf
Ce 140.12 Ce.upf
CELL_PARAMETERS angstrom
-0.219 -4.353 1.283
6.639 -0.063 0.922
-0.861 1.920 6.364
ATOMIC_POSITIONS crystal
Li 0.500 0.500 0.500
Sn 0.500 0.000 0.500
Sn 0.500 0.500 0.000
Sn 0.000 0.264 0.736
Sn 0.000 0.264 0.264
Sn 0.000 0.736 0.264
Sn 0.000 0.736 0.736
Ce 0.500 0.000 0.000
```

=====

Record 5
BaFeSe2N | PBE | relaxed Values from VASP.

- Final energy: -5.559 eV per atom

Quantum ESPRESSO input file:
```
&SYSTEM
  ibrav = 0, nat = 5, ntyp = 4
/
ATOMIC_SPECIES
Se 78.96 Se.upf
Fe 55.84 Fe.upf
N 14.01 N.upf
Ba 137.33 Ba.upf
CELL_PARAMETERS angstrom
5.353 0.000 0.000
0.000 5.353 0.000
0.000 0.000 3.608
ATOMIC_POSITIONS crystal
Se 0.000 0.500 0.000
Se 0.500 0.000 0.000
Fe 0.000 0.000 0.000
N 0.000 0.000 0.500
Ba 0.500 0.500 0.500
```

=====

Record 6
Ba3CuAg | PBE | relaxed Values from VASP.

- ΔE_f: -123 meV per atom
- Distance to the lowest polymorph of the same formula: 0.0 meV per atom

Quantum ESPRESSO input file:
```
&SYSTEM
  ibrav = 0, nat = 10, ntyp = 3
/
ATOMIC_SPECIES
Cu 63.55 Cu.upf
Ag 107.87 Ag.upf
Ba 137.33 Ba.upf
CELL_PARAMETERS angstrom
-0.613 -4.347 0.876
1.494 0.119 -9.773
9.490 -0.730 3.004
ATOMIC_POSITIONS crystal
Cu 0.746 0.462 0.675
Cu 0.207 0.383 0.748
Ag 0.405 0.775 0.111
Ag 0.552 0.071 0.310
Ba 0.201 0.369 0.411
Ba 0.036 0.038 0.046
Ba 0.755 0.477 0.011
Ba 0.583 0.132 0.666
Ba 0.374 0.714 0.755
Ba 0.921 0.808 0.375
```

=====

Record 7
YIrSe2 | PBE | relaxed Values from VASP.

- Distance to the lowest polymorph of the same formula: 244.6 meV per atom

Quantum ESPRESSO input file:
```
&SYSTEM
  ibrav = 0, nat = 4, ntyp = 3
/
ATOMIC_SPECIES
Se 78.96 Se.upf
Ir 192.22 Ir.upf
Y 88.91 Y.upf
CELL_PARAMETERS angstrom
-2.833 0.555 -2.379
-2.288 -1.155 2.456
-0.664 5.946 2.178
ATOMIC_POSITIONS crystal
Se 0.000 0.750 0.497
Se 0.000 0.750 0.003
Ir 0.500 0.750 0.750
Y 0.500 0.250 0.250
```

=====

Record 8
Er2CdGa3Cu4 | PBE | relaxed Values from VASP.

- ΔE_f: -337 meV per atom

Quantum ESPRESSO input file:
```
&SYSTEM
  ibrav = 0, nat = 10, ntyp = 4
/
ATOMIC_SPECIES
Ga 69.72 Ga.upf
Cu 63.55 Cu.upf
Er 167.26 Er.upf
Cd 112.41 Cd.upf
CELL_PARAMETERS angstrom
4.072 0.000 0.000
0.000 4.072 0.000
0.000 0.000 10.703
ATOMIC_POSITIONS crystal
Ga 0.500 0.000 0.874
Ga 0.000 0.000 0.500
Ga 0.000 0.500 0.126
Cu 0.500 0.000 0.653
Cu 0.000 0.000 0.000
Cu 0.000 0.500 0.347
Cu 0.500 0.500 0.000
Er 0.000 0.500 0.765
Er 0.500 0.000 0.235
Cd 0.500 0.500 0.500
```

=====

Record 9
Dy2MgCo | PBE | relaxed Values from VASP.

- ΔE_f: 13 meV per atom
- Distance to the lowest polymorph of the same formula: 150.2 meV per atom

Quantum ESPRESSO input file:
```
&SYSTEM
  ibrav = 0, nat = 4, ntyp = 3
/
ATOMIC_SPECIES
Co 58.93 Co.upf
Dy 162.50 Dy.upf
Mg 24.30 Mg.upf
CELL_PARAMETERS angstrom
-0.049 2.245 -2.853
-4.609 1.416 1.194
1.851 3.638 2.831
ATOMIC_POSITIONS crystal
Co 0.500 0.000 0.000
Dy 0.000 0.000 0.500
Dy 0.000 0.500 0.000
Mg 0.500 0.500 0.500
```

=====

Record 10
TaCo | PBE | relaxed Values from VASP.

- ΔE_f: 24 meV per atom

Quantum ESPRESSO input file:
```
&SYSTEM
  ibrav = 0, nat = 4, ntyp = 2
/
ATOMIC_SPECIES
Co 58.93 Co.upf
Ta 180.95 Ta.upf
CELL_PARAMETERS angstrom
-2.853 -2.363 -0.711
2.891 0.247 -2.411
2.379 -3.620 2.482
ATOMIC_POSITIONS crystal
Co 0.000 0.000 0.000
Co 0.000 0.000 0.500
Ta 0.667 0.333 0.750
Ta 0.333 0.667 0.250
```

=====

Record 11
La12Cd3In | PBE | relaxed Values from VASP.

- ΔE_f: -177 meV per atom

Quantum ESPRESSO input file:
```
&SYSTEM
  ibrav = 0, nat = 16, ntyp = 3
/
ATOMIC_SPECIES
La 138.91 La.upf
Cd 112.41 Cd.upf
In 114.82 In.upf
CELL_PARAMETERS angstrom
-0.046 4.685 1.959
-4.489 0.878 -2.206
-9.454 -6.977 16.460
ATOMIC_POSITIONS crystal
La 0.000 0.500 0.375
La 0.500 0.500 0.500
La 0.500 0.500 0.250
La 0.000 0.500 0.625
La 0.500 0.000 0.375
La 0.500 0.500 0.750
La 0.500 0.000 0.625
La 0.500 0.000 0.876
La 0.000 0.500 0.124
La 0.500 0.000 0.124
La 0.500 0.500 0.000
La 0.000 0.500 0.876
Cd 0.000 0.000 0.500
Cd 0.000 0.000 0.750
Cd 0.000 0.000 0.250
In 0.000 0.000 0.000
```

=====

Record 12
HfHg2Pt2 | PBE | relaxed Values from VASP.

- ΔE_f: -198 meV per atom
- Distance to the lowest polymorph of the same formula: 58.3 meV per atom

Quantum ESPRESSO input file:
```
&SYSTEM
  ibrav = 0, nat = 5, ntyp = 3
/
ATOMIC_SPECIES
Pt 195.08 Pt.upf
Hf 178.49 Hf.upf
Hg 200.59 Hg.upf
CELL_PARAMETERS angstrom
3.800 0.000 0.000
0.000 3.800 0.000
1.900 1.900 7.076
ATOMIC_POSITIONS crystal
Pt 0.409 0.409 0.182
Pt 0.591 0.591 0.818
Hf 0.000 0.000 0.000
Hg 0.750 0.250 0.500
Hg 0.250 0.750 0.500
```

=====

Record 13
LiIr2Se4 | PBE | relaxed Values from VASP.

- Final energy: -5.266 eV per atom

Quantum ESPRESSO input file:
```
&SYSTEM
  ibrav = 0, nat = 14, ntyp = 3
/
ATOMIC_SPECIES
Se 78.96 Se.upf
Li 6.94 Li.upf
Ir 192.22 Ir.upf
CELL_PARAMETERS angstrom
6.726 0.156 -3.318
-1.876 6.371 -3.487
-0.478 -0.461 7.479
ATOMIC_POSITIONS crystal
Se 0.388 0.611 0.222
Se 0.834 0.611 0.222
Se 0.862 0.139 0.278
Se 0.861 0.584 0.722
Se 0.389 0.612 0.778
Se 0.389 0.166 0.778
Se 0.416 0.139 0.278
Se 0.861 0.138 0.722
Li 0.000 0.000 0.000
Li 0.250 0.750 0.500
Ir 0.625 0.375 0.250
Ir 0.625 0.375 0.750
Ir 0.625 0.875 0.250
Ir 0.125 0.375 0.750
```

=====

no.,ρ (Mg/m³)
1,8.8
2,10.2
3,9.0
4,7.0
5,5.9
6,4.6
7,8.6
8,8.5
9,7.6
10,12.9
11,6.7
12,15.8
13,7.9